A plane-wave DFT calculation with PBE with a Hubbard U was carried out for VSbTe2F after structural relaxation.

Cell: 5.3185 5.3185 4.3752 Å, 90.00 90.00 90.00°
Last column: nearest neighbours and their distance in Å.
Element x y z (fractional)
Sb 0.0000 0.0000 0.5000  2 F 2.19
F 0.0000 0.0000 0.0000  2 Sb 2.19
Te 0.0000 0.5000 0.0000  2 F 2.66
Te 0.5000 0.0000 0.0000  2 F 2.66
V 0.5000 0.5000 0.5000  8 Te 3.44, 4 Sb 3.76

Computed properties:
The total energy comes out at -16.9 eV/cell. For the offset from the most stable computed form, the calculation gives 31.2 kJ per mole of atoms.